1.
Material: KZrCuF6
Method: DFT, PBE-GGA
State: relaxed

a = 5.773 Å, b = 5.773 Å, c = 11.159 Å
α = 90.00°, β = 90.00°, γ = 120.00°
Fractional coordinates of all 18 atoms:
1 K 0.000 0.000 0.000
2 K 0.000 0.000 0.500
3 Zr 0.667 0.333 0.250
4 Zr 0.333 0.667 0.750
5 Cu 0.333 0.667 0.250
6 Cu 0.667 0.333 0.750
7 F 0.645 0.615 0.146
8 F 0.970 0.355 0.146
9 F 0.355 0.970 0.646
10 F 0.030 0.645 0.854
11 F 0.385 0.355 0.354
12 F 0.970 0.615 0.354
13 F 0.615 0.970 0.854
14 F 0.645 0.030 0.354
15 F 0.030 0.385 0.646
16 F 0.385 0.030 0.146
17 F 0.615 0.645 0.646
18 F 0.355 0.385 0.854

DFT total energy = -5.6626 eV per atom
space-group type = P-31c, No. 163
size of the total moment = 0.11 μB per formula unit
raw formation energy = -2.89 eV per atom

=====

2.
Material: K2ZrCu3F12
Method: DFT, PBE-GGA
State: relaxed

a = 8.088 Å, b = 8.088 Å, c = 8.088 Å
α = 52.02°, β = 52.02°, γ = 52.02°
Fractional coordinates of all 18 atoms:
1 K 0.594 0.594 0.594
2 K 0.406 0.406 0.406
3 Zr 0.000 0.000 0.000
4 Cu 0.500 0.000 0.000
5 Cu 0.000 0.500 0.000
6 Cu 0.000 0.000 0.500
7 F 0.321 0.321 0.915
8 F 0.917 0.917 0.329
9 F 0.329 0.917 0.917
10 F 0.915 0.321 0.321
11 F 0.917 0.329 0.917
12 F 0.321 0.915 0.321
13 F 0.679 0.679 0.085
14 F 0.083 0.083 0.671
15 F 0.671 0.083 0.083
16 F 0.085 0.679 0.679
17 F 0.083 0.671 0.083
18 F 0.679 0.085 0.679

DFT total energy = -4.9448 eV per atom
space-group type = R-3m, No. 166
size of the total moment = 2.99 μB per formula unit
raw formation energy = -2.42 eV per atom

=====

3.
Material: LaCuF2
Method: DFT, PBE-GGA
State: relaxed

a = 4.440 Å, b = 4.440 Å, c = 4.440 Å
α = 60.00°, β = 60.00°, γ = 60.00°
Fractional coordinates of all 4 atoms:
1 F 0.250 0.250 0.250
2 F 0.750 0.750 0.750
3 Cu 0.000 0.000 0.000
4 La 0.500 0.500 0.500

DFT total energy = -5.3419 eV per atom
space-group type = Fm-3m, No. 225
ΔE to the lowest computed polymorph = 0.20 kcal/mol of atoms
size of the total moment = 0.00 μB per formula unit
raw formation energy = -2.15 eV per atom

=====

4.
Material: LaCuF2
Method: DFT, PBE-GGA
State: relaxed

a = 6.461 Å, b = 6.461 Å, c = 6.461 Å
α = 34.71°, β = 34.71°, γ = 34.71°
Fractional coordinates of all 4 atoms:
1 F 0.876 0.876 0.876
2 F 0.124 0.124 0.124
3 Cu 0.500 0.500 0.500
4 La 0.000 0.000 0.000

DFT total energy = -4.7834 eV per atom
space-group type = R-3m, No. 166
ΔE to the lowest computed polymorph = 13.08 kcal/mol of atoms
size of the total moment = 0.00 μB per formula unit
raw formation energy = -1.59 eV per atom

=====

5.
Material: LaCu3F
Method: DFT, PBE-GGA
State: relaxed

a = 4.489 Å, b = 4.489 Å, c = 4.489 Å
α = 90.00°, β = 90.00°, γ = 90.00°
Fractional coordinates of all 5 atoms:
1 F 0.000 0.000 0.000
2 Cu 0.000 0.500 0.000
3 Cu 0.000 0.000 0.500
4 Cu 0.500 0.000 0.000
5 La 0.500 0.500 0.500

DFT total energy = -3.7938 eV per atom
space-group type = Pm-3m, No. 221
ΔE to the lowest computed polymorph = 0.00 kcal/mol of atoms
size of the total moment = 0.00 μB per formula unit
raw formation energy = 0.02 eV per atom

=====

6.
Material: LaCuF5
Method: DFT, PBE-GGA
State: relaxed

a = 5.778 Å, b = 5.778 Å, c = 7.836 Å
α = 71.06°, β = 71.06°, γ = 75.05°
Fractional coordinates of all 14 atoms:
1 La 0.559 0.441 0.250
2 La 0.441 0.559 0.750
3 Cu 0.000 0.000 0.000
4 Cu 0.000 0.000 0.500
5 F 0.807 0.744 0.116
6 F 0.298 0.668 0.469
7 F 0.744 0.807 0.616
8 F 0.908 0.092 0.250
9 F 0.332 0.702 0.031
10 F 0.668 0.298 0.969
11 F 0.092 0.908 0.750
12 F 0.256 0.193 0.384
13 F 0.702 0.332 0.531
14 F 0.193 0.256 0.884

DFT total energy = -5.6111 eV per atom
space-group type = C2/c, No. 15
size of the total moment = 1.00 μB per formula unit
raw formation energy = -2.99 eV per atom